# NdGa2MoO8 (PBE+U, optimized geometry)
# Total moment = 0.4 μB per formula unit
# E_tot = -159.16 eV/cell
# Calculated volume = 293.1 Å³/cell
data_NdGa2MoO8
_symmetry_space_group_name_H-M 'C m m m'
_symmetry_Int_Tables_number 65
_symmetry_space_group_name_Hall '-C 2 2'
_cell_length_a 6.6202
_cell_length_b 6.7127
_cell_length_c 6.5948
_cell_angle_alpha 90.00
_cell_angle_beta 90.00
_cell_angle_gamma 90.00
loop_
_atom_site_label
_atom_site_fract_x
_atom_site_fract_y
_atom_site_fract_z
Nd1 0.0000 0.0000 0.0000
Ga1 0.0000 0.5000 0.2672
Mo1 0.0000 0.0000 0.5000
O1 0.0000 0.2971 0.5000
O2 0.0000 0.3367 0.0000
O3 0.2027 0.0000 0.2913